Below is an optimized crystal structure of Sm4In2Te, with properties calculated at the PBE level.

Cell: 6.615 6.478 10.596 Å, 90.00 106.61 90.00°
Sites, in units of the cell vectors:
Sm1 0.026 0.007 0.268
Sm2 0.026 0.493 0.268
Sm3 0.385 0.750 0.550
Sm4 0.466 0.750 0.141
Sm5 0.534 0.250 0.859
Sm6 0.615 0.250 0.450
Sm7 0.974 0.507 0.732
Sm8 0.974 0.993 0.732
In1 0.081 0.250 0.002
In2 0.209 0.250 0.553
In3 0.791 0.750 0.447
In4 0.919 0.750 0.998
Te1 0.408 0.750 0.841
Te2 0.592 0.250 0.159

**E_tot**: -4.45 eV/atom
**Formation energy from raw total energies**: -50.0 kJ per mole of atoms
**Calculated volume**: 218 Å³/f.u.